No. 1
VASP calculation (PBE-GGA) on a geometry-optimized Rb4SN12 structure.

## Properties
* ΔE_f (raw): -0.13 eV per atom
* crystal system: cubic
* D(E_F): 10.8 states/eV/cell
* density: 2.07 g cm⁻³
* space-group type: No. 204

Cell: 8.264 8.264 8.264 Å, 109.47 109.47 109.47°
Last column: magnetic moment on the atom in μB.
Positions (direct):
N 0.559 0.902 0.343  0.09
N 0.657 0.559 0.216  0.09
N 0.657 0.441 0.098  0.09
N 0.441 0.098 0.657  0.09
N 0.441 0.784 0.343  0.09
N 0.784 0.343 0.441  0.09
N 0.902 0.343 0.559  0.09
S 0.000 0.000 0.000  -0.02
Rb 0.500 0.500 0.500  0.01
N 0.343 0.441 0.784  0.09
N 0.343 0.559 0.902  0.09
N 0.216 0.657 0.559  0.09
Rb 0.000 0.000 0.500  0.01
N 0.098 0.657 0.441  0.09
Rb 0.500 0.000 0.000  0.01
N 0.559 0.216 0.657  0.09
Rb 0.000 0.500 0.000  0.01

No. 2
VASP calculation (PBE-GGA) on a geometry-optimized RbSN2 structure.

## Properties
* ΔE_f (raw): 0.79 eV per atom
* crystal system: monoclinic
* D(E_F): 3.0 states/eV/cell
* density: 3.59 g cm⁻³
* space-group type: No. 12

Cell: 2.687 7.289 14.848 Å, 67.66 90.00 90.00°
Positions (direct):
N 0.500 0.849 0.923
N 0.000 0.849 0.423
Rb 0.500 0.245 0.380
N 0.499 0.363 0.164
N 0.501 0.637 0.836
Rb 0.000 0.755 0.120
N 0.500 0.151 0.077
N 0.999 0.637 0.336
S 0.500 0.742 0.380
Rb 0.500 0.755 0.620
S 0.000 0.258 0.120
S 0.000 0.742 0.880
S 0.500 0.258 0.620
N 0.000 0.151 0.577
N 0.001 0.363 0.664
Rb 0.000 0.245 0.880

No. 3
VASP calculation (PBE-GGA) on a geometry-optimized RbSN2 structure.

## Properties
* ΔE_f (raw): -0.10 eV per atom
* crystal system: orthorhombic
* D(E_F): 1.0 states/eV/cell
* density: 2.08 g cm⁻³
* space-group type: No. 38

Cell: 3.257 7.331 7.331 Å, 138.44 90.00 90.00°
Last column: magnetic moment on the atom in μB.
Positions (direct):
S 0.500 0.415 0.585  0.15
Rb 0.000 0.993 0.007  0.00
N 0.500 0.579 0.207  0.00
N 0.500 0.793 0.421  0.00

No. 4
VASP calculation (PBE-GGA) on a geometry-optimized RbS2N2 structure.

## Properties
* ΔE_f (raw): 1.42 eV per atom
* crystal system: tetragonal
* D(E_F): 2.3 states/eV/cell
* density: 3.34 g cm⁻³
* space-group type: No. 123

Cell: 4.316 4.316 4.736 Å, 90.00 90.00 90.00°
Last column: magnetic moment on the atom in μB.
Positions (direct):
N 0.000 0.500 0.000  1.04
S 0.000 0.000 0.000  -0.12
Rb 0.500 0.500 0.500  0.01
N 0.500 0.000 0.000  1.04
S 0.000 0.000 0.500  0.20

No. 5
VASP calculation (PBE-GGA) on a geometry-optimized RbS2N2 structure.

## Properties
* ΔE_f (raw): 0.45 eV per atom
* crystal system: triclinic
* D(E_F): 2.4 states/eV/cell
* density: 2.87 g cm⁻³
* space-group type: No. 2

Cell: 2.862 9.113 8.355 Å, 148.56 70.02 98.91°
Positions (direct):
N 0.064 0.429 0.650
S 0.403 0.552 0.872
Rb 0.000 0.000 0.000
N 0.936 0.571 0.350
S 0.597 0.448 0.128

No. 6
VASP calculation (PBE-GGA) on a geometry-optimized RbS2N2 structure.

## Properties
* ΔE_f (raw): 1.43 eV per atom
* crystal system: tetragonal
* D(E_F): 3.1 states/eV/cell
* density: 2.99 g cm⁻³
* space-group type: No. 123

Cell: 4.018 4.018 6.102 Å, 90.00 90.00 90.00°
Last column: magnetic moment on the atom in μB.
Positions (direct):
S 0.000 0.500 0.000  0.12
S 0.500 0.000 0.000  0.12
N 0.000 0.000 0.500  1.58
Rb 0.500 0.500 0.500  0.04
N 0.000 0.000 0.000  0.02

No. 7
VASP calculation (PBE-GGA) on a geometry-optimized RbSbSN2 structure.

## Properties
* ΔE_f (raw): 0.81 eV per atom
* crystal system: tetragonal
* D(E_F): 2.9 states/eV/cell
* density: 4.53 g cm⁻³
* space-group type: No. 123

Cell: 4.343 4.343 5.190 Å, 90.00 90.00 90.00°
Last column: magnetic moment on the atom in μB.
Positions (direct):
Rb 0.500 0.500 0.500  0.01
N 0.000 0.500 0.000  0.71
S 0.000 0.000 0.500  0.19
N 0.500 0.000 0.000  0.71
Sb 0.000 0.000 0.000  -0.07

No. 8
VASP calculation (PBE-GGA) on a geometry-optimized RbSbS2N structure.

## Properties
* ΔE_f (raw): 1.81 eV per atom
* crystal system: tetragonal
* D(E_F): 3.3 states/eV/cell
* density: 3.40 g cm⁻³
* space-group type: No. 123

Cell: 5.607 5.607 4.435 Å, 90.00 90.00 90.00°
Last column: magnetic moment on the atom in μB.
Positions (direct):
N 0.000 0.000 0.500  1.16
S 0.000 0.500 0.000  0.05
Rb 0.000 0.000 0.000  0.02
Sb 0.500 0.500 0.500  -0.09
S 0.500 0.000 0.000  0.05

No. 9
VASP calculation (PBE-GGA) on a geometry-optimized RbSbS2N structure.

## Properties
* ΔE_f (raw): 0.26 eV per atom
* crystal system: tetragonal
* D(E_F): 2.5 states/eV/cell
* density: 4.08 g cm⁻³
* space-group type: No. 123

Cell: 5.208 5.208 4.285 Å, 90.00 90.00 90.00°
Last column: magnetic moment on the atom in μB.
Positions (direct):
Sb 0.000 0.000 0.000  -0.05
S 0.000 0.500 0.000  0.14
Rb 0.500 0.500 0.500  0.00
N 0.000 0.000 0.500  0.75
S 0.500 0.000 0.000  0.14

No. 10
VASP calculation (PBE-GGA) on a geometry-optimized RbSb2SN structure.

## Properties
* ΔE_f (raw): 0.75 eV per atom
* crystal system: tetragonal
* D(E_F): 4.8 states/eV/cell
* density: 4.59 g cm⁻³
* space-group type: No. 123

Cell: 6.347 3.366 6.347 Å, 90.00 90.00 90.00°
Positions (direct):
Sb 0.000 0.000 0.500
S 0.000 0.000 0.000
Sb 0.500 0.000 0.000
Rb 0.500 0.500 0.500
N 0.000 0.500 0.000

No. 11
VASP calculation (PBE-GGA) on a geometry-optimized RbSbSN2 structure.

## Properties
* ΔE_f (raw): 2.36 eV per atom
* crystal system: tetragonal
* D(E_F): 2.9 states/eV/cell
* density: 3.65 g cm⁻³
* space-group type: No. 123

Cell: 4.452 4.452 6.144 Å, 90.00 90.00 90.00°
Last column: magnetic moment on the atom in μB.
Positions (direct):
N 0.000 0.500 0.000  1.01
Rb 0.000 0.000 0.000  0.07
Sb 0.500 0.500 0.500  -0.30
N 0.500 0.000 0.000  1.01
S 0.000 0.000 0.500  0.01

No. 12
VASP calculation (PBE-GGA) on a geometry-optimized RbScSN2 structure.

## Properties
* ΔE_f (raw): 0.15 eV per atom
* crystal system: tetragonal
* D(E_F): 2.3 states/eV/cell
* density: 3.04 g cm⁻³
* space-group type: No. 123

Cell: 4.529 4.529 5.069 Å, 90.00 90.00 90.00°
Last column: magnetic moment on the atom in μB.
Positions (direct):
N 0.000 0.500 0.000  1.15
Sc 0.000 0.000 0.000  -0.06
N 0.500 0.000 0.000  1.15
S 0.000 0.000 0.500  0.34
Rb 0.500 0.500 0.500  0.01

No. 13
VASP calculation (PBE-GGA) on a geometry-optimized RbScSN2 structure.

## Properties
* ΔE_f (raw): 1.82 eV per atom
* crystal system: tetragonal
* D(E_F): 1.6 states/eV/cell
* density: 3.21 g cm⁻³
* space-group type: No. 123

Cell: 4.125 4.125 5.799 Å, 90.00 90.00 90.00°
Last column: magnetic moment on the atom in μB.
Positions (direct):
N 0.000 0.500 0.000  0.25
N 0.500 0.000 0.000  0.25
Sc 0.500 0.500 0.500  -0.07
Rb 0.000 0.000 0.000  -0.01
S 0.000 0.000 0.500  0.01

No. 14
VASP calculation (PBE-GGA) on a geometry-optimized RbSeSN2 structure.

## Properties
* ΔE_f (raw): 1.45 eV per atom
* crystal system: tetragonal
* D(E_F): 2.1 states/eV/cell
* density: 3.81 g cm⁻³
* space-group type: No. 123

Cell: 4.437 4.437 4.968 Å, 90.00 90.00 90.00°
Last column: magnetic moment on the atom in μB.
Positions (direct):
N 0.500 0.000 0.000  1.09
N 0.000 0.500 0.000  1.09
S 0.000 0.000 0.000  -0.12
Rb 0.500 0.500 0.500  0.01
Se 0.000 0.000 0.500  0.20

No. 15
VASP calculation (PBE-GGA) on a geometry-optimized RbSeSN2 structure.

## Properties
* ΔE_f (raw): 2.46 eV per atom
* crystal system: tetragonal
* D(E_F): 4.4 states/eV/cell
* density: 2.22 g cm⁻³
* space-group type: No. 123

Cell: 5.119 5.119 6.399 Å, 90.00 90.00 90.00°
Last column: magnetic moment on the atom in μB.
Positions (direct):
N 0.500 0.000 0.000  1.81
Rb 0.000 0.000 0.000  0.13
N 0.000 0.500 0.000  1.81
Se 0.500 0.500 0.500  0.48
S 0.000 0.000 0.500  0.14

No. 16
VASP calculation (PBE-GGA) on a geometry-optimized RbSeSN2 structure.

## Properties
* ΔE_f (raw): 1.25 eV per atom
* crystal system: tetragonal
* D(E_F): 2.1 states/eV/cell
* density: 3.97 g cm⁻³
* space-group type: No. 123

Cell: 4.340 4.340 4.980 Å, 90.00 90.00 90.00°
Last column: magnetic moment on the atom in μB.
Positions (direct):
S 0.000 0.000 0.500  0.19
Se 0.000 0.000 0.000  -0.07
Rb 0.500 0.500 0.500  0.01
N 0.500 0.000 0.000  0.95
N 0.000 0.500 0.000  0.95

No. 17
VASP calculation (PBE-GGA) on a geometry-optimized RbSe2SN structure.

## Properties
* ΔE_f (raw): 0.48 eV per atom
* crystal system: tetragonal
* D(E_F): 5.3 states/eV/cell
* density: 3.96 g cm⁻³
* space-group type: No. 123

Cell: 6.116 6.116 3.243 Å, 90.00 90.00 90.00°
Positions (direct):
Se 0.000 0.500 0.000
Rb 0.500 0.500 0.500
S 0.000 0.000 0.000
Se 0.500 0.000 0.000
N 0.000 0.000 0.500

No. 18
VASP calculation (PBE-GGA) on a geometry-optimized RbSe2SN structure.

## Properties
* ΔE_f (raw): 1.90 eV per atom
* crystal system: tetragonal
* D(E_F): 6.1 states/eV/cell
* density: 2.04 g cm⁻³
* space-group type: No. 123

Cell: 6.487 6.487 5.610 Å, 90.00 90.00 90.00°
Last column: magnetic moment on the atom in μB.
Positions (direct):
Se 0.500 0.000 0.000  0.96
S 0.500 0.500 0.500  1.11
Se 0.000 0.500 0.000  0.96
Rb 0.000 0.000 0.000  0.05
N 0.000 0.000 0.500  1.84

No. 19
VASP calculation (PBE-GGA) on a geometry-optimized RbSiS2N structure.

## Properties
* ΔE_f (raw): 0.04 eV per atom
* crystal system: tetragonal
* D(E_F): 2.9 states/eV/cell
* density: 3.23 g cm⁻³
* space-group type: No. 123

Cell: 5.515 5.515 3.235 Å, 90.00 90.00 90.00°
Positions (direct):
Si 0.000 0.000 0.000
S 0.500 0.000 0.000
N 0.000 0.000 0.500
Rb 0.500 0.500 0.500
S 0.000 0.500 0.000

No. 20
VASP calculation (PBE-GGA) on a geometry-optimized RbSiSN2 structure.

## Properties
* ΔE_f (raw): 2.56 eV per atom
* crystal system: tetragonal
* D(E_F): 2.1 states/eV/cell
* density: 1.85 g cm⁻³
* space-group type: No. 123

Cell: 4.984 4.984 6.266 Å, 90.00 90.00 90.00°
Last column: magnetic moment on the atom in μB.
Positions (direct):
N 0.000 0.500 0.000  1.71
Rb 0.000 0.000 0.000  0.15
Si 0.500 0.500 0.500  -0.20
N 0.500 0.000 0.000  1.71
S 0.000 0.000 0.500  0.26